[1]
Computed, not measured: crystalline CaIn2Ag at its relaxed geometry at the PBE level of DFT.

## Properties
Energy = -2.676 eV per atom
DFT formation energy = -9.0 kJ per mole of atoms
Space-group type = I-42d (122)

a b c (Å): 11.3324 11.3324 11.3324
angles (deg): 157.24 157.24 32.41
Last column: nearest neighbours and their distance in Å.
Element x y z (fractional)
1 Ca 0.0000 0.0000 0.0000  4 Ag 3.16, 4 In 3.18
2 Ca 0.7500 0.2500 0.5000  4 Ag 3.16, 4 In 3.18
3 In 0.1473 0.6250 0.0223  4 In 3.02-3.31, 2 Ag 3.11, 2 Ca 3.18
4 In 0.3750 0.3973 0.5223  4 In 3.02-3.31, 2 Ag 3.11, 2 Ca 3.18
5 In 0.6027 0.1250 0.9777  4 In 3.02-3.31, 2 Ag 3.11, 2 Ca 3.18
6 In 0.8750 0.8527 0.4777  4 In 3.02-3.31, 2 Ag 3.11, 2 Ca 3.18
7 Ag 0.2500 0.7500 0.5000  4 In 3.11, 4 Ca 3.16
8 Ag 0.5000 0.5000 0.0000  4 In 3.11, 4 Ca 3.16



[2]
Computed, not measured: crystalline Ca4InAg3 at its relaxed geometry at the PBE level of DFT.

## Properties
Energy = -2.755 eV per atom
Energy relative to the lowest polymorph listed for this composition = 0.0095 eV/atom
DFT formation energy = -33.1 kJ per mole of atoms
Space-group type = Pmm2 (25)

a b c (Å): 4.0597 4.7464 11.6455
angles (deg): 90.00 90.00 90.00
Last column: nearest neighbours and their distance in Å.
Element x y z (fractional)
1 Ca 0.0000 0.0000 0.0000  6 Ag 3.20-3.21, 1 In 3.35
2 Ca 0.0000 0.5000 0.2789  7 Ag 3.21-3.30
3 Ca 0.5000 0.0000 0.4868  5 Ag 3.20-3.24, 2 In 3.32
4 Ca 0.5000 0.5000 0.7870  4 In 3.24, 3 Ag 3.24-3.32
5 In 0.0000 0.0000 0.7126  2 Ag 2.95, 4 Ca 3.24
6 Ag 0.0000 0.5000 0.5619  2 In 2.95, 5 Ca 3.24-3.30
7 Ag 0.5000 0.0000 0.2121  2 Ag 2.92, 7 Ca 3.20-3.22
8 Ag 0.5000 0.5000 0.0656  2 Ag 2.92, 7 Ca 3.21-3.24



[3]
Computed, not measured: crystalline CaIn2Ag at its relaxed geometry at the PBE level of DFT.

## Properties
Energy = -2.911 eV per atom
DFT formation energy = -31.7 kJ per mole of atoms
Space-group type = Pnma (62)

a b c (Å): 17.4903 7.6810 5.9351
angles (deg): 90.00 90.00 90.00
Last column: nearest neighbours and their distance in Å.
Element x y z (fractional)
1 Ca 0.1075 0.2500 0.2265  3 Ag 3.13-3.43, 4 In 3.33-3.38
2 Ca 0.1463 0.7500 0.4791  2 Ag 3.17-3.27, 6 In 3.33-3.50
3 Ca 0.3537 0.2500 0.9791  2 Ag 3.17-3.27, 6 In 3.33-3.50
4 Ca 0.3925 0.7500 0.7265  3 Ag 3.13-3.43, 4 In 3.33-3.38
5 Ca 0.6075 0.2500 0.2735  3 Ag 3.13-3.43, 4 In 3.33-3.38
6 Ca 0.6463 0.7500 0.0209  2 Ag 3.17-3.27, 6 In 3.33-3.50
7 Ca 0.8537 0.2500 0.5209  2 Ag 3.17-3.27, 6 In 3.33-3.50
8 Ca 0.8925 0.7500 0.7735  3 Ag 3.13-3.43, 4 In 3.33-3.38
9 In 0.0298 0.0495 0.7316  3 Ag 2.87-2.91, 2 In 3.04-3.08
10 In 0.0298 0.4505 0.7316  3 Ag 2.87-2.91, 2 In 3.04-3.08
11 In 0.2172 0.5518 0.9679  3 Ag 2.87-2.93, 1 In 3.05
12 In 0.2172 0.9482 0.9679  3 Ag 2.87-2.93, 1 In 3.05
13 In 0.2828 0.0518 0.4679  3 Ag 2.87-2.93, 1 In 3.05
14 In 0.2828 0.4482 0.4679  3 Ag 2.87-2.93, 1 In 3.05
15 In 0.4702 0.5495 0.2316  3 Ag 2.87-2.91, 2 In 3.04-3.08
16 In 0.4702 0.9505 0.2316  3 Ag 2.87-2.91, 2 In 3.04-3.08
17 In 0.5298 0.0495 0.7684  3 Ag 2.87-2.91, 2 In 3.04-3.08
18 In 0.5298 0.4505 0.7684  3 Ag 2.87-2.91, 2 In 3.04-3.08
19 In 0.7172 0.5518 0.5321  3 Ag 2.87-2.93, 1 In 3.05
20 In 0.7172 0.9482 0.5321  3 Ag 2.87-2.93, 1 In 3.05
21 In 0.7828 0.0518 0.0321  3 Ag 2.87-2.93, 1 In 3.05
22 In 0.7828 0.4482 0.0321  3 Ag 2.87-2.93, 1 In 3.05
23 In 0.9702 0.5495 0.2684  3 Ag 2.87-2.91, 2 In 3.04-3.08
24 In 0.9702 0.9505 0.2684  3 Ag 2.87-2.91, 2 In 3.04-3.08
25 Ag 0.0746 0.7500 0.9886  6 In 2.87-2.93, 1 Ca 3.17
26 Ag 0.1690 0.2500 0.7216  6 In 2.87-2.92, 2 Ca 3.13-3.18
27 Ag 0.3310 0.7500 0.2216  6 In 2.87-2.92, 2 Ca 3.13-3.18
28 Ag 0.4254 0.2500 0.4886  6 In 2.87-2.93, 1 Ca 3.17
29 Ag 0.5746 0.7500 0.5114  6 In 2.87-2.93, 1 Ca 3.17
30 Ag 0.6690 0.2500 0.7784  6 In 2.87-2.92, 2 Ca 3.13-3.18
31 Ag 0.8310 0.7500 0.2784  6 In 2.87-2.92, 2 Ca 3.13-3.18
32 Ag 0.9254 0.2500 0.0114  6 In 2.87-2.93, 1 Ca 3.17



[4]
Computed, not measured: crystalline Ca11In9Ag4 at its relaxed geometry at the PBE level of DFT.

## Properties
Energy = -2.842 eV per atom
DFT formation energy = -40.8 kJ per mole of atoms
Space-group type = Cmmm (65)

a b c (Å): 13.6044 13.6044 3.8198
angles (deg): 90.00 90.00 112.64
Last column: nearest neighbours and their distance in Å.
Element x y z (fractional)
1 Ca 0.0000 0.0000 0.0000  8 In 3.33, 2 Ca 3.67
2 Ca 0.0620 0.4105 0.0000  2 Ag 3.05, 4 In 3.31-3.37
3 Ca 0.1622 0.8378 0.0000  8 In 3.39-3.56, 3 Ca 3.57-3.67
4 Ca 0.2972 0.2972 0.0000  4 Ag 3.07, 4 In 3.39
5 Ca 0.3672 0.6328 0.0000  4 Ag 3.07, 4 In 3.38
6 Ca 0.4105 0.0620 0.0000  2 Ag 3.05, 4 In 3.31-3.37
7 Ca 0.5895 0.9380 0.0000  2 Ag 3.05, 4 In 3.31-3.37
8 Ca 0.6328 0.3672 0.0000  4 Ag 3.07, 4 In 3.38
9 Ca 0.7028 0.7028 0.0000  4 Ag 3.07, 4 In 3.39
10 Ca 0.8378 0.1622 0.0000  8 In 3.39-3.56, 3 Ca 3.57-3.67
11 Ca 0.9380 0.5895 0.0000  2 Ag 3.05, 4 In 3.31-3.37
12 In 0.0740 0.2167 0.5000  1 Ag 3.13, 1 In 3.23, 6 Ca 3.31-3.39
13 In 0.1620 0.6315 0.5000  1 In 3.12, 1 Ag 3.13, 8 Ca 3.37-3.45
14 In 0.2167 0.0740 0.5000  1 Ag 3.13, 1 In 3.23, 6 Ca 3.31-3.39
15 In 0.3685 0.8380 0.5000  1 In 3.12, 1 Ag 3.13, 8 Ca 3.37-3.45
16 In 0.5000 0.5000 0.5000  4 Ag 3.23, 8 Ca 3.56-3.61
17 In 0.6315 0.1620 0.5000  1 In 3.12, 1 Ag 3.13, 8 Ca 3.37-3.45
18 In 0.7833 0.9260 0.5000  1 Ag 3.13, 1 In 3.23, 6 Ca 3.31-3.39
19 In 0.8380 0.3685 0.5000  1 In 3.12, 1 Ag 3.13, 8 Ca 3.37-3.45
20 In 0.9260 0.7833 0.5000  1 Ag 3.13, 1 In 3.23, 6 Ca 3.31-3.39
21 Ag 0.2479 0.4487 0.5000  6 Ca 3.05-3.07, 3 In 3.13-3.23
22 Ag 0.4487 0.2479 0.5000  6 Ca 3.05-3.07, 3 In 3.13-3.23
23 Ag 0.5513 0.7521 0.5000  6 Ca 3.05-3.07, 3 In 3.13-3.23
24 Ag 0.7521 0.5513 0.5000  6 Ca 3.05-3.07, 3 In 3.13-3.23



[5]
Computed, not measured: crystalline Ca6InAg2 at its relaxed geometry at the PBE level of DFT.

## Properties
Energy = -2.558 eV per atom
DFT formation energy = -27.6 kJ per mole of atoms
Space-group type = Immm (71)

a b c (Å): 9.0619 9.0619 9.0619
angles (deg): 113.38 111.28 103.90
Last column: nearest neighbours and their distance in Å.
Element x y z (fractional)
1 Ca 0.0492 0.2432 0.8060  2 Ag 3.13-3.44, 2 In 3.36-3.49
2 Ca 0.1837 0.2832 0.4668  3 Ag 3.20-3.28, 1 In 3.39
3 Ca 0.1837 0.7168 0.9005  3 Ag 3.20-3.28, 1 In 3.39
4 Ca 0.3307 0.0356 0.7049  3 Ag 3.04-3.19
5 Ca 0.3307 0.6258 0.2951  3 Ag 3.04-3.19
6 Ca 0.4371 0.2432 0.1940  2 Ag 3.13-3.44, 2 In 3.36-3.49
7 Ca 0.5629 0.7568 0.8060  2 Ag 3.13-3.44, 2 In 3.36-3.49
8 Ca 0.6693 0.3742 0.7049  3 Ag 3.04-3.19
9 Ca 0.6693 0.9644 0.2951  3 Ag 3.04-3.19
10 Ca 0.8163 0.2832 0.0995  3 Ag 3.20-3.28, 1 In 3.39
11 Ca 0.8163 0.7168 0.5332  3 Ag 3.20-3.28, 1 In 3.39
12 Ca 0.9508 0.7568 0.1940  2 Ag 3.13-3.44, 2 In 3.36-3.49
13 In 0.0000 0.0000 0.0000  8 Ca 3.36-3.39, 2 Ag 3.55
14 In 0.5000 0.5000 0.0000  12 Ca 3.49-3.89
15 Ag 0.1283 0.6283 0.5000  1 Ag 2.87, 6 Ca 3.04-3.20
16 Ag 0.3467 0.0000 0.3467  8 Ca 3.13-3.28, 1 Ag 3.14
17 Ag 0.6533 0.0000 0.6533  8 Ca 3.13-3.28, 1 Ag 3.14
18 Ag 0.8717 0.3717 0.5000  1 Ag 2.87, 6 Ca 3.04-3.20



[6]
Computed, not measured: crystalline Ca8In2Ag at its relaxed geometry at the PBE level of DFT.

## Properties
Energy = -2.424 eV per atom
Energy relative to the lowest polymorph listed for this composition = 0.0559 eV/atom
DFT formation energy = -20.4 kJ per mole of atoms
Space-group type = Immm (71)

a b c (Å): 9.0834 9.0834 9.0834
angles (deg): 145.46 120.05 71.06
Last column: nearest neighbours and their distance in Å.
Element x y z (fractional)
1 Ca 0.1272 0.3430 0.7842  3 In 3.36-3.39, 1 Ag 3.47, 5 Ca 3.57-3.75
2 Ca 0.1335 0.1335 0.0000  2 Ag 3.34, 4 Ca 3.52-3.66, 2 In 3.68
3 Ca 0.3216 0.0000 0.3216  7 Ca 3.24-3.57, 2 In 3.34
4 Ca 0.4412 0.6570 0.7842  3 In 3.36-3.39, 1 Ag 3.47, 5 Ca 3.57-3.75
5 Ca 0.5588 0.3430 0.2158  3 In 3.36-3.39, 1 Ag 3.47, 5 Ca 3.57-3.75
6 Ca 0.6784 0.0000 0.6784  7 Ca 3.24-3.57, 2 In 3.34
7 Ca 0.8665 0.8665 0.0000  2 Ag 3.34, 4 Ca 3.52-3.66, 2 In 3.68
8 Ca 0.8728 0.6570 0.2158  3 In 3.36-3.39, 1 Ag 3.47, 5 Ca 3.57-3.75
9 In 0.3026 0.8026 0.5000  10 Ca 3.34-3.68
10 In 0.6974 0.1974 0.5000  10 Ca 3.34-3.68
11 Ag 0.0000 0.5000 0.5000  8 Ca 3.34-3.47